[1]
Below is a geometry-optimized DyCu4Ge2 structure, with properties calculated at the PBE level.

The structure in POSCAR format:
```
DyCu4Ge2
1.0
4.1413 0.0000 0.0000
2.0707 3.5865 0.0000
2.0707 1.1955 7.4182
Dy Cu Ge
1 4 2
direct
0.0000 0.0000 0.0000
0.4365 0.4365 0.6906
0.1407 0.1407 0.5778
0.5635 0.5635 0.3094
0.8593 0.8593 0.4222
0.2531 0.2531 0.2408
0.7469 0.7469 0.7592
```

Computed properties:
Its space group is R-3m. The formation enthalpy at 0 K is -2.18 eV per formula unit.

=====

[2]
Below is a geometry-optimized MnZnReTc structure, with properties calculated at the PBE level.

The structure in POSCAR format:
```
MnZnReTc
1.0
-4.1202 0.9689 0.5205
-2.7510 -2.9987 1.2751
-1.6722 0.1684 3.9193
Re Zn Mn Tc
1 1 1 1
direct
0.5000 0.5000 0.5000
0.0000 0.0000 0.0000
0.7500 0.7500 0.7500
0.2500 0.2500 0.2500
```

Computed properties:
Its space group is F-43m. The formation enthalpy at 0 K is 0.59 eV per formula unit.

=====

[3]
Below is a geometry-optimized Nd2Sm3Y6Ho structure, with properties calculated at the PBE level.

The structure in POSCAR format:
```
Nd2Sm3Y6Ho
1.0
-0.0451 0.9651 6.1641
5.2242 -1.9265 -2.8154
1.4588 11.4454 -2.8296
Nd Sm Y Ho
2 3 6 1
direct
0.3335 0.6665 0.0000
0.6665 0.3335 0.0000
0.1667 0.8333 0.5000
0.8333 0.1667 0.5000
0.5000 0.5000 0.5000
0.9167 0.5839 0.7500
0.7508 0.7508 0.2504
0.0833 0.4161 0.2500
0.5839 0.9167 0.7500
0.2492 0.2492 0.7496
0.4161 0.0833 0.2500
0.0000 0.0000 0.0000
```

Computed properties:
Its space group is C2/m. The formation enthalpy at 0 K is 0.16 eV per formula unit.

=====

[4]
Below is a geometry-optimized NaTm2Te3 structure, with properties calculated at the PBE level.

The structure in POSCAR format:
```
NaTm2Te3
1.0
-3.9285 0.5873 1.7253
-1.5330 -5.7727 -1.5253
4.9783 0.4510 5.7465
Na Tm Te
1 2 3
direct
0.5000 0.5000 0.5000
0.8370 0.8370 0.1740
0.1630 0.1630 0.8260
0.8266 0.3266 0.1533
0.1734 0.6734 0.8467
0.5000 0.0000 0.5000
```

Computed properties:
Its space group is Immm. The formation energy without anion corrections is -1237.6 meV/atom.

=====

[5]
Below is a geometry-optimized Al3IrF structure, with properties calculated at the PBE level.

The structure in POSCAR format:
```
Al3IrF
1.0
4.0867 0.0000 0.0000
0.0000 4.0867 0.0000
0.0000 0.0000 4.0867
Ir Al F
1 3 1
direct
0.5000 0.5000 0.5000
0.0000 0.5000 0.0000
0.0000 0.0000 0.5000
0.5000 0.0000 0.0000
0.0000 0.0000 0.0000
```

Computed properties:
Its space group is Pm-3m. The formation energy without anion corrections is -366.3 meV/atom.

=====

[6]
Below is a geometry-optimized Cd4TePt structure, with properties calculated at the PBE level.

The structure in POSCAR format:
```
Cd4TePt
1.0
4.4863 1.0342 3.4362
1.5410 5.4110 1.1619
-0.8451 2.1619 5.2551
Cd Te Pt
4 1 1
direct
0.8736 0.3755 0.3755
0.3755 0.3755 0.8736
0.3755 0.8736 0.3755
0.3755 0.3755 0.3755
0.0000 0.0000 0.0000
0.7500 0.7500 0.7500
```

Computed properties:
Its space group is F-43m. The formation energy without anion corrections is 250.1 meV/atom.

=====

[7]
Below is a geometry-optimized CsLaHg structure, with properties calculated at the PBE level.

The structure in POSCAR format:
```
CsLaHg
1.0
-3.9735 -1.4372 -0.1112
2.2285 -4.8860 -16.4848
2.3617 -6.7082 2.3075
Cs Hg La
4 4 4
direct
0.0000 0.2916 0.2901
0.0000 0.7084 0.7901
0.5000 0.7916 0.2901
0.5000 0.2084 0.7901
0.0000 0.4060 0.7830
0.0000 0.5940 0.2830
0.5000 0.9060 0.7830
0.5000 0.0940 0.2830
0.0000 0.9986 0.0345
0.0000 0.0014 0.5345
0.5000 0.4986 0.0345
0.5000 0.5014 0.5345
```

Computed properties:
Its space group is Cmc2_1. The formation enthalpy at 0 K is -0.15 eV per formula unit.

=====

[8]
Below is a geometry-optimized AlCu2W structure, with properties calculated at the PBE level.

The structure in POSCAR format:
```
AlCu2W
1.0
-3.3259 0.8654 -1.0970
-1.3753 -2.5280 2.1753
-2.9813 5.3583 7.3338
Cu W Al
4 2 2
direct
0.6194 0.1250 0.2500
0.1306 0.6250 0.2500
0.3750 0.3806 0.7500
0.8750 0.8694 0.7500
0.0000 0.0000 0.0000
0.7500 0.2500 0.5000
0.5000 0.5000 0.0000
0.2500 0.7500 0.5000
```

Computed properties:
Its space group is I-42d. The formation enthalpy at 0 K is 2.19 eV per formula unit.

=====

[9]
Below is a geometry-optimized PbC4 structure, with properties calculated at the PBE level.

The structure in POSCAR format:
```
PbC4
1.0
-1.3310 -1.5488 -3.9835
-3.0571 -2.5706 2.0209
-2.9868 3.3214 -0.2934
Pb C
1 4
direct
0.5000 0.5000 0.5000
0.0000 0.0000 0.0000
0.5000 0.0000 0.5000
0.0000 0.5000 0.5000
0.5000 0.5000 0.0000
```

Computed properties:
Its space group is Pm-3m. The formation enthalpy at 0 K is 23.65 eV per formula unit.

=====

[10]
Below is a geometry-optimized Sm2CoH6Rh structure, with properties calculated at the PBE level.

The structure in POSCAR format:
```
Sm2CoH6Rh
1.0
-4.1150 3.0409 0.5758
-2.6538 -2.8990 -3.3265
2.2300 -2.1463 4.1020
Sm Co H Rh
2 1 6 1
direct
0.7499 0.2504 0.4998
0.2499 0.7504 0.4998
0.9999 0.0004 0.9998
0.7651 0.7656 0.9996
0.7631 0.7636 0.5263
0.2347 0.2352 0.0000
0.7641 0.2362 0.9998
0.2367 0.2372 0.4733
0.2357 0.7646 0.9998
0.4999 0.5004 0.9998
```

Computed properties:
Its space group is Fmmm.

=====

[11]
Below is a geometry-optimized MgTa2Ir structure, with properties calculated at the PBE level.

The structure in POSCAR format:
```
MgTa2Ir
1.0
-7.0259 -6.7040 1.8342
-5.2772 -7.3016 4.0632
-7.2388 -5.1839 4.2893
Ir Mg Ta
1 1 2
direct
0.2500 0.2500 0.2500
0.7500 0.7500 0.7500
0.9935 0.9935 0.9935
0.5065 0.5065 0.5065
```

Computed properties:
Its space group is R-3m. The formation enthalpy at 0 K is 0.05 eV per formula unit.

=====

[12]
Below is a geometry-optimized CoSiHg structure, with properties calculated at the PBE level.

The structure in POSCAR format:
```
CoSiHg
1.0
-2.8694 2.1984 1.4593
-0.0123 -3.8552 0.5771
1.8981 0.4510 3.0529
Co Hg Si
1 1 1
direct
0.0000 0.0000 0.8333
0.6667 0.3333 0.3335
0.3333 0.6667 0.8332
```

Computed properties:
Its space group is P-6m2. The formation energy without anion corrections is 219.8 meV/atom.

=====

Number 1: energy -32.4 eV per cell. Number 2: energy -32.7 eV per cell. Number 3: energy -66.9 eV per cell. Number 4: energy -27.1 eV per cell. Number 5: energy -23.8 eV per cell. Number 6: energy -11.3 eV per cell. Number 7: energy -24.9 eV per cell. Number 8: energy -45.4 eV per cell. Number 9: energy -17.0 eV per cell. Number 10: energy -49.1 eV per cell. Number 11: energy -34.1 eV per cell. Number 12: energy -12.2 eV per cell.